DFT (PBE-GGA) results for an optimized crystal structure of ErBeTlTe3.

Cell lengths 4.2109, 15.6904, 11.4746 Å; angles 90.00, 90.00, 90.00 degrees
Space group Cmcm (No. 63)
One atom of each set of equivalent atoms:
Er 0.0000 0.0000 0.0000
Be 0.0000 0.4642 0.2500
Tl 0.0000 0.2486 0.7500
Te 0.0000 0.0628 0.2500
Te 0.0000 0.3715 0.0742

Computed properties:
* final energy: -0.3024 Ry/atom

DFT (PBE-GGA) results for an optimized crystal structure of ErThBe.

Cell lengths 6.7594, 6.7594, 6.7594 Å; angles 90.00, 90.00, 90.00 degrees
Space group F-43m (No. 216)
One atom of each set of equivalent atoms:
Er 0.0000 0.0000 0.0000
Th 0.0000 0.0000 0.5000
Be 0.2500 0.2500 0.2500

Computed properties:
* final energy: -0.3615 Ry/atom

DFT (PBE-GGA) results for an optimized crystal structure of Er2UBe3.

Cell lengths 5.3737, 5.3737, 4.5461 Å; angles 90.00, 90.00, 120.00 degrees
Space group P6/mmm (No. 191)
One atom of each set of equivalent atoms:
Er 0.3333 0.6667 0.0000
U 0.0000 0.0000 0.0000
Be 0.0000 0.5000 0.5000

Computed properties:
* final energy: -0.3355 Ry/atom

DFT (PBE-GGA) results for an optimized crystal structure of ErBeW.

Cell lengths 6.4045, 6.4045, 6.4045 Å; angles 90.00, 90.00, 90.00 degrees
Space group F-43m (No. 216)
One atom of each set of equivalent atoms:
Er 0.0000 0.0000 0.0000
Be 0.2500 0.2500 0.7500
W 0.2500 0.2500 0.2500

Computed properties:
* final energy: -0.3877 Ry/atom

DFT (PBE-GGA) results for an optimized crystal structure of ErBeW.

Cell lengths 6.0322, 6.0322, 6.0322 Å; angles 90.00, 90.00, 90.00 degrees
Space group F-43m (No. 216)
One atom of each set of equivalent atoms:
Er 0.0000 0.0000 0.0000
Be 0.2500 0.2500 0.2500
W 0.0000 0.0000 0.5000

Computed properties:
* final energy: -0.4659 Ry/atom

DFT (PBE-GGA) results for an optimized crystal structure of YErBe.

Cell lengths 6.7489, 6.7489, 6.7489 Å; angles 90.00, 90.00, 90.00 degrees
Space group F-43m (No. 216)
One atom of each set of equivalent atoms:
Y 0.0000 0.0000 0.0000
Er 0.2500 0.2500 0.2500
Be 0.2500 0.2500 0.7500

Computed properties:
* final energy: -0.2874 Ry/atom

DFT (PBE-GGA) results for an optimized crystal structure of ErBeZn.

Cell lengths 6.1963, 6.1963, 6.1963 Å; angles 90.00, 90.00, 90.00 degrees
Space group F-43m (No. 216)
One atom of each set of equivalent atoms:
Er 0.0000 0.0000 0.0000
Be 0.0000 0.0000 0.5000
Zn 0.2500 0.2500 0.7500

Computed properties:
* final energy: -0.2197 Ry/atom

DFT (PBE-GGA) results for an optimized crystal structure of ErBeZn.

Cell lengths 6.4147, 6.4147, 6.4147 Å; angles 90.00, 90.00, 90.00 degrees
Space group F-43m (No. 216)
One atom of each set of equivalent atoms:
Er 0.0000 0.0000 0.0000
Be 0.2500 0.2500 0.7500
Zn 0.2500 0.2500 0.2500

Computed properties:
* final energy: -0.1878 Ry/atom